(1)
## PrHfAsO (PBE-GGA)

Data for PrHfAsO after structural relaxation.

Summary:
The calculation puts the energy at -7.435 eV/atom. The magnetic moment is 0.04 μB/cell. The space-group type is P4/nmm, No. 129. Its crystal system is tetragonal. The calculation puts the volume at 150.0 Å³/cell.

abc: 4.1734 4.1734 8.6139
angles: 90.00 90.00 90.00
Atoms (fractional coordinates):
As1 0.7500 0.7500 0.2462
As2 0.2500 0.2500 0.7538
Hf1 0.2500 0.2500 0.0913
Hf2 0.7500 0.7500 0.9087
O1 0.7500 0.2500 0.0000
O2 0.2500 0.7500 0.0000
Pr1 0.7500 0.2500 0.5000
Pr2 0.2500 0.7500 0.5000

---

(2)
## Sm2Ni3B6 (PBE-GGA)

Data for Sm2Ni3B6 after structural relaxation.

Summary:
The calculation puts the energy at -6.512 eV/atom. The magnetic moment is 0.02 μB/cell. The space-group type is Cmmm, No. 65. Its crystal system is orthorhombic. The calculation puts the volume at 120.6 Å³/cell.

abc: 5.8605 5.8605 3.5338
angles: 90.00 90.00 96.27
Atoms (fractional coordinates):
B1 0.4119 0.1135 0.5000
B2 0.1136 0.1136 0.5000
B3 0.1135 0.4119 0.5000
B4 0.8865 0.5881 0.5000
B5 0.8864 0.8864 0.5000
B6 0.5881 0.8865 0.5000
Ni1 0.2718 0.2718 0.0000
Ni2 0.7282 0.7282 0.0000
Ni3 0.5000 0.5000 0.5000
Sm1 0.7737 0.2263 0.0000
Sm2 0.2263 0.7737 0.0000

---

(3)
## BeZnNiMo (PBE-GGA)

Data for BeZnNiMo after structural relaxation.

Summary:
The calculation puts the energy at -5.152 eV/atom. The magnetic moment is 0.01 μB/cell. The space-group type is F-43m, No. 216. Its crystal system is cubic. The calculation puts the volume at 48.9 Å³/cell.

abc: 4.1036 4.1036 4.1036
angles: 60.00 60.00 60.00
Atoms (fractional coordinates):
Be1 0.5000 0.5000 0.5000
Mo1 0.2500 0.2500 0.2500
Ni1 0.7500 0.7500 0.7500
Zn1 0.0000 0.0000 0.0000

---

(4)
## CsErNiTe3 (PBE-GGA)

Data for CsErNiTe3 after structural relaxation.

Summary:
The calculation puts the energy at -4.302 eV/atom. The magnetic moment is 0.01 μB/cell. The space-group type is Cmcm, No. 63. Its crystal system is orthorhombic. The calculation puts the volume at 413.1 Å³/cell.

abc: 10.6517 9.3939 9.3939
angles: 153.93 90.00 90.00
Atoms (fractional coordinates):
Cs1 0.2500 0.7474 0.2526
Cs2 0.7500 0.2526 0.7474
Er1 0.0000 0.0000 0.0000
Er2 0.5000 0.0000 0.0000
Ni1 0.7500 0.5094 0.4906
Ni2 0.2500 0.4906 0.5094
Te1 0.7500 0.9247 0.0753
Te2 0.5828 0.6092 0.3908
Te3 0.9172 0.6092 0.3908
Te4 0.0828 0.3908 0.6092
Te5 0.4172 0.3908 0.6092
Te6 0.2500 0.0753 0.9247

---

(5)
## Nd2DyS3 (PBE-GGA)

Data for Nd2DyS3 after structural relaxation.

Summary:
The calculation puts the energy at -6.436 eV/atom. The magnetic moment is 0.01 μB/cell. The space-group type is P-3m1, No. 164. Its crystal system is trigonal. The calculation puts the volume at 136.7 Å³/cell.

abc: 3.9948 3.9948 9.8933
angles: 90.00 90.00 120.00
Atoms (fractional coordinates):
Dy1 0.0000 0.0000 0.5000
Nd1 0.3333 0.6667 0.1698
Nd2 0.6667 0.3333 0.8302
S1 0.0000 0.0000 0.0000
S2 0.6667 0.3333 0.3455
S3 0.3333 0.6667 0.6545

---

(6)
## YCuHgB (PBE-GGA)

Data for YCuHgB after structural relaxation.

Summary:
The calculation puts the energy at -3.930 eV/atom. The magnetic moment is 0.00 μB/cell. The space-group type is F-43m, No. 216. Its crystal system is cubic. The calculation puts the volume at 69.6 Å³/cell.

abc: 4.6172 4.6172 4.6172
angles: 60.00 60.00 60.00
Atoms (fractional coordinates):
B1 0.0000 0.0000 0.0000
Cu1 0.7500 0.7500 0.7500
Hg1 0.5000 0.5000 0.5000
Y1 0.2500 0.2500 0.2500

---

(7)
## MgTaNb (PBE-GGA)

Data for MgTaNb after structural relaxation.

Summary:
The calculation puts the energy at -6.632 eV/atom. The magnetic moment is 0.02 μB/cell. The space-group type is F-43m, No. 216. Its crystal system is cubic. The calculation puts the volume at 67.4 Å³/cell.

abc: 4.5674 4.5674 4.5674
angles: 60.00 60.00 60.00
Atoms (fractional coordinates):
Mg1 0.0000 0.0000 0.0000
Nb1 0.7500 0.7500 0.7500
Ta1 0.5000 0.5000 0.5000

---

(8)
## BeZn2Ni (PBE-GGA)

Data for BeZn2Ni after structural relaxation.

Summary:
The calculation puts the energy at -3.091 eV/atom. The magnetic moment is 0.00 μB/cell. The space-group type is Pmmn, No. 59. Its crystal system is orthorhombic. The calculation puts the volume at 92.7 Å³/cell.

abc: 4.0396 5.0332 4.5584
angles: 90.00 90.00 90.00
Atoms (fractional coordinates):
Be1 0.5000 0.0000 0.3640
Be2 0.0000 0.5000 0.6360
Ni1 0.5000 0.5000 0.3562
Ni2 0.0000 0.0000 0.6438
Zn1 0.0000 0.2475 0.1694
Zn2 0.0000 0.7525 0.1694
Zn3 0.5000 0.2525 0.8306
Zn4 0.5000 0.7475 0.8306

---

(9)
## Cs2PuTe3 (PBE-GGA)

Data for Cs2PuTe3 after structural relaxation.

Summary:
The calculation puts the energy at -5.193 eV/atom. The magnetic moment is 7.98 μB/cell. The space-group type is Cmcm, No. 63. Its crystal system is orthorhombic. The calculation puts the volume at 603.5 Å³/cell.

abc: 8.8571 8.8571 8.0974
angles: 90.00 90.00 71.81
Each line ends with the local moment (μB).
Atoms (fractional coordinates):
Cs1 0.1808 0.5105 0.2500  -0.01
Cs2 0.4895 0.8192 0.2500  -0.01
Cs3 0.5105 0.1808 0.7500  -0.01
Cs4 0.8192 0.4895 0.7500  -0.01
Pu1 0.9194 0.0806 0.2500  4.91
Pu2 0.0806 0.9194 0.7500  4.91
Te1 0.1451 0.1451 0.0000  -0.19
Te2 0.8549 0.8549 0.0000  -0.19
Te3 0.6406 0.3594 0.2500  -0.19
Te4 0.1451 0.1451 0.5000  -0.19
Te5 0.8549 0.8549 0.5000  -0.19
Te6 0.3594 0.6406 0.7500  -0.19

---

(10)
## LiPt2N (PBE-GGA)

Data for LiPt2N after structural relaxation.

Summary:
The calculation puts the energy at -5.041 eV/atom. The magnetic moment is 0.00 μB/cell. The space-group type is P6_3/mmc, No. 194. Its crystal system is hexagonal. The calculation puts the volume at 104.4 Å³/cell.

abc: 2.8518 2.8518 14.8233
angles: 90.00 90.00 120.00
Atoms (fractional coordinates):
Li1 0.3333 0.6667 0.2500
Li2 0.6667 0.3333 0.7500
N1 0.0000 0.0000 0.0000
N2 0.0000 0.0000 0.5000
Pt1 0.6667 0.3333 0.1034
Pt2 0.6667 0.3333 0.3966
Pt3 0.3333 0.6667 0.6034
Pt4 0.3333 0.6667 0.8966

---

(11)
## Al5Co7 (PBE-GGA)

Data for Al5Co7 after structural relaxation.

Summary:
The calculation puts the energy at -5.702 eV/atom. The magnetic moment is 18.48 μB/cell. The space-group type is P6_3/mmc, No. 194. Its crystal system is hexagonal. The calculation puts the volume at 304.5 Å³/cell.

abc: 4.8341 4.8341 15.0451
angles: 90.00 90.00 120.00
Each line ends with the local moment (μB).
Atoms (fractional coordinates):
Al1 0.5000 0.0000 0.0000  -0.01
Al2 0.0000 0.5000 0.0000  -0.01
Al3 0.5000 0.5000 0.0000  -0.01
Al4 0.0000 0.0000 0.1083  -0.01
Al5 0.0000 0.0000 0.3917  -0.01
Al6 0.5000 0.0000 0.5000  -0.01
Al7 0.0000 0.5000 0.5000  -0.01
Al8 0.5000 0.5000 0.5000  -0.01
Al9 0.0000 0.0000 0.6083  -0.01
Al10 0.0000 0.0000 0.8917  -0.01
Co1 0.3333 0.6667 0.1238  0.86
Co2 0.6667 0.3333 0.1618  1.51
Co3 0.1637 0.3273 0.2500  1.68
Co4 0.1637 0.8363 0.2500  1.90
Co5 0.6727 0.8363 0.2500  1.32
Co6 0.6667 0.3333 0.3382  1.51
Co7 0.3333 0.6667 0.3762  0.86
Co8 0.6667 0.3333 0.6238  0.86
Co9 0.3333 0.6667 0.6618  1.51
Co10 0.3273 0.1637 0.7500  1.32
Co11 0.8363 0.1637 0.7500  1.90
Co12 0.8363 0.6727 0.7500  1.68
Co13 0.3333 0.6667 0.8382  1.51
Co14 0.6667 0.3333 0.8762  0.86

---

(12)
## ThAu (PBE-GGA)

Data for ThAu after structural relaxation.

Summary:
For the calculated formation energy, the calculation gives -0.43 eV per atom. The calculation puts the energy at -5.771 eV/atom. The magnetic moment is 0.03 μB/cell. The space-group type is P-6m2, No. 187. Its crystal system is hexagonal. The calculation puts the volume at 52.2 Å³/cell.

abc: 3.6190 3.6190 4.6043
angles: 90.00 90.00 120.00
Atoms (fractional coordinates):
Au1 0.6667 0.3333 0.7500
Th1 0.3333 0.6667 0.2500